# GGA+U Na2Mg2MoO6, relaxed
# Crystal system: monoclinic
# E, eV/atom: -5.937
# Volume, Å³ per cell: 268.2
data_Na2Mg2MoO6
_space_group_name_H-M_alt 'C 1 2/m 1'
_space_group_IT_number 12
_cell_length_a 5.355
_cell_length_b 9.059
_cell_length_c 5.849
_cell_angle_alpha 90.00
_cell_angle_beta 109.05
_cell_angle_gamma 90.00
loop_
_space_group_symop_operation_xyz
'x,y,z'
'-x,-y,-z'
'-x,y,-z'
'x,-y,z'
'x+1/2,y+1/2,z'
'-x+1/2,-y+1/2,-z'
'-x+1/2,y+1/2,-z'
'x+1/2,-y+1/2,z'
loop_
_atom_site_label
_atom_site_fract_x
_atom_site_fract_y
_atom_site_fract_z
_atom_site_occupancy
Na1 0.000 0.174 0.000 1
Mg1 0.000 0.336 0.500 1
Mo1 0.000 0.000 0.500 1
O1 0.219 0.158 0.694 1
O2 0.239 0.000 0.308 1